[1]
Entry from Alexandria: crystalline LaTb2Pt2 at its relaxed geometry (PBE).

- E_tot (eV/atom) = -6.270
- E_form (eV/atom) = -1.016
- size of the total moment (μB/atom) = 0.00
- Fermi-level density of states (states/eV/cell) = 8.0

Cell and atoms, written as extended XYZ:
```
10
Lattice="4.682 0.000 0.000 0.000 5.480 -0.769 0.000 0.146 10.579" Properties=species:S:1:pos:R:3 pbc="T T T"
La 1.170 2.370 1.979
La 3.511 3.256 7.831
Tb 1.170 0.802 9.286
Tb 3.511 1.317 4.810
Tb 1.170 4.309 5.000
Tb 3.511 4.824 0.524
Pt 3.511 3.902 3.356
Pt 3.511 1.855 -0.001
Pt 1.170 1.724 6.454
Pt 1.170 3.771 9.811
```

=====

[2]
Entry from Alexandria: crystalline La3TbPt8 at its relaxed geometry (PBE).

- E_tot (eV/atom) = -6.746
- E_form (eV/atom) = -1.101
- size of the total moment (μB/atom) = 0.00
- Fermi-level density of states (states/eV/cell) = 2.2

Cell and atoms, written as extended XYZ:
```
12
Lattice="5.293 0.000 1.598 2.405 4.715 1.598 -0.005 -0.003 9.583" Properties=species:S:1:pos:R:3 pbc="T T T"
La 2.880 1.764 9.589
La 7.694 4.712 3.209
La 3.851 2.358 6.375
Tb 6.733 4.124 6.392
Pt 6.003 2.059 4.019
Pt 4.582 4.419 8.760
Pt 3.361 2.059 3.222
Pt 7.215 4.419 9.555
Pt 1.443 0.884 4.786
Pt 5.288 3.239 11.179
Pt 4.562 4.412 4.019
Pt 6.018 2.073 8.760
```

=====

[3]
Entry from Alexandria: crystalline LaTb3Pt8 at its relaxed geometry (PBE).

- E_tot (eV/atom) = -6.648
- E_form (eV/atom) = -1.053
- size of the total moment (μB/atom) = 0.00
- Fermi-level density of states (states/eV/cell) = 5.1

Cell and atoms, written as extended XYZ:
```
12
Lattice="-3.835 -2.603 2.935 5.315 -0.901 1.018 -0.002 6.714 5.951" Properties=species:S:1:pos:R:3 pbc="T T T"
La -0.001 3.812 3.379
Tb -0.786 0.838 4.843
Tb -0.785 -1.616 2.668
Tb -0.002 6.318 5.600
Pt 2.264 1.887 4.631
Pt 2.263 5.239 7.602
Pt -1.902 3.744 5.962
Pt 0.715 3.301 6.464
Pt -1.173 2.019 7.909
Pt 1.120 0.935 2.292
Pt 3.805 0.479 2.806
Pt 1.868 -0.836 4.289
```

=====

[4]
Entry from Alexandria: crystalline LaTb3Pt at its relaxed geometry (PBE).

- E_tot (eV/atom) = -5.355
- E_form (eV/atom) = -0.383
- size of the total moment (μB/atom) = 0.00
- Fermi-level density of states (states/eV/cell) = 9.3

Cell and atoms, written as extended XYZ:
```
5
Lattice="5.533 0.000 0.000 0.000 5.533 0.000 0.000 0.000 5.533" Properties=species:S:1:pos:R:3 pbc="T T T"
Tb 0.000 2.766 0.000
Tb 0.000 0.000 2.766
Tb 2.766 0.000 0.000
Pt 0.000 0.000 0.000
La 2.766 2.766 2.766
```

=====

[5]
Entry from Alexandria: crystalline La2Tb3Pt2 at its relaxed geometry (PBE).

- E_tot (eV/atom) = -5.887
- E_form (eV/atom) = -0.768
- size of the total moment (μB/atom) = 0.00
- Fermi-level density of states (states/eV/cell) = 8.2

Cell and atoms, written as extended XYZ:
```
7
Lattice="3.669 0.000 1.031 1.355 6.065 2.222 -0.472 -0.268 8.723" Properties=species:S:1:pos:R:3 pbc="T T T"
La 1.172 2.908 2.873
La 3.381 2.889 9.103
Tb 1.835 0.000 0.516
Tb 2.285 4.735 5.959
Tb 2.268 1.062 6.017
Pt 1.487 5.293 8.797
Pt 3.066 0.503 3.179
```

=====

[6]
Entry from Alexandria: crystalline La2TbPt9 at its relaxed geometry (PBE).

- E_tot (eV/atom) = -6.664
- E_form (eV/atom) = -0.926
- size of the total moment (μB/atom) = 0.00
- Fermi-level density of states (states/eV/cell) = 10.4

Cell and atoms, written as extended XYZ:
```
12
Lattice="-0.171 -5.390 -0.836 4.622 -2.779 -0.836 2.247 -4.126 8.324" Properties=species:S:1:pos:R:3 pbc="T T T"
La 4.768 -8.753 2.020
La 1.930 -3.543 4.631
Tb 0.000 0.000 0.000
Pt 5.213 -9.570 7.195
Pt 1.485 -2.725 -0.544
Pt 3.349 -6.148 3.325
Pt 2.410 -4.424 1.388
Pt 2.324 -7.143 0.967
Pt 4.741 -5.826 0.967
Pt 4.288 -7.871 5.262
Pt 1.957 -6.470 5.684
Pt 4.374 -5.153 5.684
```

=====

[7]
Entry from Alexandria: crystalline La2Tb2Pt3 at its relaxed geometry (PBE).

- E_tot (eV/atom) = -6.383
- E_form (eV/atom) = -1.063
- size of the total moment (μB/atom) = 0.00
- Fermi-level density of states (states/eV/cell) = 12.1

Cell and atoms, written as extended XYZ:
```
14
Lattice="7.317 0.000 -2.587 -3.659 6.337 -2.587 0.000 0.000 7.761" Properties=species:S:1:pos:R:3 pbc="T T T"
La 2.276 2.394 1.610
La 0.000 0.000 2.932
La 4.106 0.774 -0.977
La 4.594 3.169 -3.564
Tb 0.000 0.000 6.818
Tb 0.445 5.567 0.314
Tb -1.385 3.939 2.902
Tb 0.940 3.169 -2.273
Pt 3.153 4.045 -0.578
Pt -1.323 5.460 -2.009
Pt 1.732 4.753 3.165
Pt 5.586 1.584 2.009
Pt 2.238 0.708 4.596
Pt -0.409 2.461 0.578
```

=====

[8]
Entry from Alexandria: crystalline LaTbZnPt at its relaxed geometry (PBE).

- E_tot (eV/atom) = -4.968
- E_form (eV/atom) = -0.749
- size of the total moment (μB/atom) = 0.00
- polymorph energy (0 for the lowest one) (eV/f.u.) = 0.00
- Fermi-level density of states (states/eV/cell) = 3.6

Cell and atoms, written as extended XYZ:
```
4
Lattice="3.978 0.000 0.000 0.000 4.535 0.000 -1.989 0.000 5.486" Properties=species:S:1:pos:R:3 pbc="T T T"
La 0.000 0.000 1.566
Tb 1.989 2.268 3.972
Zn 1.989 2.268 0.778
Pt 0.000 0.000 4.656
```

=====

[9]
Entry from Alexandria: crystalline LaTbZnPt at its relaxed geometry (PBE).

- E_tot (eV/atom) = -4.924
- E_form (eV/atom) = -0.706
- size of the total moment (μB/atom) = 0.00
- polymorph energy (0 for the lowest one) (eV/f.u.) = 0.17
- Fermi-level density of states (states/eV/cell) = 3.2

Cell and atoms, written as extended XYZ:
```
4
Lattice="-1.716 3.520 -3.315 1.231 -0.340 -4.969 -3.583 -1.257 -3.450" Properties=species:S:1:pos:R:3 pbc="T T T"
Zn -1.017 0.481 -2.934
Tb 0.000 0.000 0.000
Pt -3.051 1.442 -8.801
La -2.034 0.961 -5.867
```

=====

[10]
Entry from Alexandria: crystalline La2TcPt at its relaxed geometry (PBE).

- E_tot (eV/atom) = -6.728
- E_form (eV/atom) = -0.163
- size of the total moment (μB/atom) = 0.00
- Fermi-level density of states (states/eV/cell) = 2.3

Cell and atoms, written as extended XYZ:
```
4
Lattice="-2.515 -2.366 -1.760 1.191 -3.132 -1.948 -0.970 -6.063 5.568" Properties=species:S:1:pos:R:3 pbc="T T T"
La -1.324 -5.502 -3.688
La -1.147 -5.776 0.911
Pt -0.574 -2.890 0.465
Tc -1.721 -8.671 1.395
```

=====

[11]
Entry from Alexandria: crystalline LaTcPt4 at its relaxed geometry (PBE).

- E_tot (eV/atom) = -6.919
- E_form (eV/atom) = -0.343
- size of the total moment (μB/atom) = 0.68
- Fermi-level density of states (states/eV/cell) = 5.2

Cell and atoms, written as extended XYZ:
```
6
Lattice="0.000 3.834 3.834 3.834 0.000 3.834 3.834 3.834 0.000" Properties=species:S:1:pos:R:3 pbc="T T T"
La 0.000 0.000 0.000
Tc 5.751 5.751 5.751
Pt 2.879 4.789 4.789
Pt 4.789 4.789 2.879
Pt 4.789 2.879 4.789
Pt 2.879 2.879 2.879
```

=====

[12]
Entry from Alexandria: crystalline La2TcPt at its relaxed geometry (PBE).

- E_tot (eV/atom) = -6.684
- E_form (eV/atom) = -0.119
- size of the total moment (μB/atom) = 0.00
- Fermi-level density of states (states/eV/cell) = 2.9

Cell and atoms, written as extended XYZ:
```
4
Lattice="3.729 0.000 0.000 0.000 3.728 0.000 0.000 0.000 7.707" Properties=species:S:1:pos:R:3 pbc="T T T"
La 0.000 0.000 7.050
La 1.864 1.864 2.718
Pt 0.000 0.000 4.231
Tc 1.864 1.864 5.268
```

=====

[13]
Entry from Alexandria: crystalline La2TcPt at its relaxed geometry (PBE).

- E_tot (eV/atom) = -6.940
- E_form (eV/atom) = -0.374
- size of the total moment (μB/atom) = 0.00
- Fermi-level density of states (states/eV/cell) = 5.6

Cell and atoms, written as extended XYZ:
```
4
Lattice="-0.394 2.822 2.319 -3.345 0.661 -1.372 -2.799 -4.297 4.753" Properties=species:S:1:pos:R:3 pbc="T T T"
La -2.788 -4.281 4.735
La -1.410 -2.166 2.395
Pt -2.569 0.667 1.662
Tc -3.969 -1.482 4.039
```

=====

[14]
Entry from Alexandria: crystalline La2TcPt2 at its relaxed geometry (PBE).

- E_tot (eV/atom) = -6.971
- E_form (eV/atom) = -0.510
- size of the total moment (μB/atom) = 0.33
- Fermi-level density of states (states/eV/cell) = 12.8

Cell and atoms, written as extended XYZ:
```
10
Lattice="7.308 0.000 0.000 0.000 7.308 0.000 0.000 0.000 4.336" Properties=species:S:1:pos:R:3 pbc="T T T"
Tc 0.000 0.000 0.000
Tc 3.654 3.654 0.000
Pt 2.656 6.310 0.000
Pt 6.310 4.652 0.000
Pt 4.652 0.998 0.000
Pt 0.998 2.656 0.000
La 1.288 4.942 2.168
La 4.942 6.020 2.168
La 6.020 2.366 2.168
La 2.366 1.288 2.168
```

=====

[15]
Entry from Alexandria: crystalline La2TcPt at its relaxed geometry (PBE).

- E_tot (eV/atom) = -6.833
- E_form (eV/atom) = -0.267
- size of the total moment (μB/atom) = 0.00
- Fermi-level density of states (states/eV/cell) = 4.1

Cell and atoms, written as extended XYZ:
```
4
Lattice="6.690 0.008 -0.011 5.790 3.351 -0.011 1.603 0.432 4.318" Properties=species:S:1:pos:R:3 pbc="T T T"
La 1.862 0.501 4.213
La 3.382 0.910 1.130
Pt 6.554 1.764 2.340
Tc 10.930 2.942 3.078
```

=====

[16]
Entry from Alexandria: crystalline LaTc4Pt at its relaxed geometry (PBE).

- E_tot (eV/atom) = -8.480
- E_form (eV/atom) = 0.259
- size of the total moment (μB/atom) = 0.00
- Fermi-level density of states (states/eV/cell) = 7.1

Cell and atoms, written as extended XYZ:
```
6
Lattice="0.000 3.763 3.763 3.763 0.000 3.763 3.763 3.763 0.000" Properties=species:S:1:pos:R:3 pbc="T T T"
La 5.644 5.644 5.644
Tc 2.811 4.714 4.714
Tc 4.714 4.714 2.811
Tc 4.714 2.811 4.714
Tc 2.811 2.811 2.811
Pt 0.000 0.000 0.000
```

=====

[17]
Entry from Alexandria: crystalline La6TcPt2 at its relaxed geometry (PBE).

- E_tot (eV/atom) = -6.331
- E_form (eV/atom) = -0.552
- size of the total moment (μB/atom) = 0.00
- Fermi-level density of states (states/eV/cell) = 19.0

Cell and atoms, written as extended XYZ:
```
18
Lattice="6.949 0.000 0.166 0.000 7.618 0.000 0.611 0.000 10.536" Properties=species:S:1:pos:R:3 pbc="T T T"
La 1.263 0.383 2.681
La 1.538 2.411 6.087
La 1.800 2.423 9.882
La 2.591 6.232 6.004
La 2.854 6.220 9.799
La 2.517 4.192 2.670
La 6.297 7.236 8.021
La 6.023 5.207 4.614
La 5.760 5.196 0.820
La 4.969 1.387 4.697
La 4.706 1.398 0.902
La 5.044 3.427 8.032
Tc 3.474 3.809 0.083
Tc 0.306 0.000 5.268
Pt 0.846 4.667 8.163
Pt 3.546 0.858 7.724
Pt 4.015 6.760 2.978
Pt 6.714 2.951 2.539
```

=====

[18]
Entry from Alexandria: crystalline La8Tc2Pt at its relaxed geometry (PBE).

- E_tot (eV/atom) = -6.195
- E_form (eV/atom) = -0.177
- size of the total moment (μB/atom) = 0.00
- Fermi-level density of states (states/eV/cell) = 11.9

Cell and atoms, written as extended XYZ:
```
11
Lattice="6.333 0.050 -1.073 -2.100 6.964 -3.200 -0.155 -0.382 7.935" Properties=species:S:1:pos:R:3 pbc="T T T"
La 2.880 2.442 -1.068
La 3.399 0.484 1.901
La 0.384 2.346 1.481
La 5.656 1.088 4.439
La 4.534 5.327 -1.987
La 3.600 4.267 2.186
La 0.367 6.091 1.803
La 0.880 4.155 4.738
Tc 1.604 5.077 -0.158
Tc 2.373 2.173 4.245
Pt -1.291 6.564 4.556
```

=====

[19]
Entry from Alexandria: crystalline La5TcPt at its relaxed geometry (PBE).

- E_tot (eV/atom) = -6.085
- E_form (eV/atom) = -0.222
- size of the total moment (μB/atom) = 0.00
- Fermi-level density of states (states/eV/cell) = 14.7

Cell and atoms, written as extended XYZ:
```
14
Lattice="-6.748 1.596 6.296 4.004 -2.988 7.922 1.127 4.243 4.514" Properties=species:S:1:pos:R:3 pbc="T T T"
La -0.497 0.162 13.554
La -4.673 3.399 9.464
La -1.025 4.030 8.329
La 1.733 2.163 7.178
La 1.207 2.602 11.160
La -2.824 0.249 7.572
La -3.350 0.688 11.554
La -0.592 -1.179 10.402
La 3.056 -0.548 9.268
La -1.120 2.689 5.178
Tc -2.126 2.528 13.911
Tc 0.510 0.323 4.821
Pt 0.000 0.000 0.000
Pt -0.808 1.425 9.366
```

=====

[20]
Entry from Alexandria: crystalline La2TcPt at its relaxed geometry (PBE).

- E_tot (eV/atom) = -6.960
- E_form (eV/atom) = -0.395
- size of the total moment (μB/atom) = 0.00
- Fermi-level density of states (states/eV/cell) = 4.1

Cell and atoms, written as extended XYZ:
```
4
Lattice="-1.281 -3.278 2.633 3.327 -2.601 -1.621 4.732 0.387 2.783" Properties=species:S:1:pos:R:3 pbc="T T T"
La 7.573 -2.205 0.938
La 1.722 -2.279 1.669
Pt 4.616 -1.616 0.233
Tc 4.955 -2.715 2.698
```